Entry 1:
A geometry-optimized ZrNb3Rh6 structure, computed with GGA-PBE.

```
ZrNb3Rh6
1.0
4.0197 0.0000 0.0000
0.0000 8.7186 -0.2624
0.0000 -0.0427 9.1129
Zr Rh Nb
2 12 6
Cartesian
1.0049 8.1787 5.4284
3.0148 0.4972 3.4221
1.0049 0.4754 8.2458
1.0049 5.5395 6.2314
1.0049 1.3593 1.7199
1.0049 7.4021 2.4583
1.0049 2.1287 4.4438
3.0148 8.2005 0.6047
3.0148 7.3166 7.1306
3.0148 3.1364 2.6191
3.0148 6.5472 4.4067
3.0148 1.2738 6.3922
3.0148 4.6905 8.0572
1.0049 3.9854 0.7933
1.0049 6.5202 8.7400
3.0148 3.8187 5.2859
1.0049 4.8572 3.5646
3.0148 5.6873 1.6924
3.0148 2.1557 0.1105
1.0049 2.9886 7.1581
```

Properties
- Space group: P2_1/m
- Energy of formation: -526 meV per atom


Entry 2:
A geometry-optimized Fe2SiSb structure, computed with GGA-PBE.

```
Fe2SiSb
1.0
-2.7812 -1.4964 3.7230
1.1389 -4.4166 1.7411
2.5052 4.0618 -1.0297
Si Sb Fe
1 1 2
Cartesian
-0.5486 -0.1956 2.7127
-0.8212 -2.9565 2.7320
0.0000 0.0000 0.0000
1.4115 -1.6556 1.7217
```

Properties
- Space group: I-4m2
- Uncorrected formation energy: 0.30 eV/atom


Entry 3:
A geometry-optimized CsMgTa structure, computed with GGA-PBE.

```
CsMgTa
1.0
-1.9280 2.8920 -0.0687
-3.9962 -2.6845 -0.8948
-0.3011 0.1860 13.8698
Cs Mg Ta
2 2 2
Cartesian
-1.9794 1.0763 1.9447
-4.2346 -1.5965 6.2498
-3.5334 0.6571 9.7918
-2.9760 -1.0036 12.2769
-1.9014 1.8161 12.4146
-0.6105 0.5215 10.5437
```

Properties
- Space group: P1
- Excess energy over the best structure of this formula in the dataset: 67 meV/atom
- Energy of formation: 632 meV per atom


Entry 4:
A geometry-optimized KTlZn2 structure, computed with GGA-PBE.

```
KTlZn2
1.0
4.3003 0.0000 0.0000
0.0000 3.8721 -0.0376
0.0000 2.0197 6.7881
Tl K Zn
1 1 2
Cartesian
2.1501 4.6629 5.5910
0.0000 2.6973 3.1980
2.1501 0.7405 1.3516
0.0000 2.7566 6.7734
```

Properties
- Space group: Pm
- Excess energy over the best structure of this formula in the dataset: 69 meV/atom
- Energy of formation: 93 meV per atom


Entry 5:
A geometry-optimized Pb5Au3I12 structure, computed with GGA-PBE.

```
Pb5Au3I12
1.0
-7.6096 14.1745 3.4910
-3.1854 -4.2452 -15.5834
-5.4430 -11.7879 10.1208
I Pb Au
48 20 12
Cartesian
-6.6508 -8.9160 9.1534
-9.9720 -11.0288 -3.2207
-5.6414 5.4957 -0.4308
-4.8724 2.2176 -4.3667
-9.3195 4.5533 -0.3739
-10.3549 5.0216 8.4057
-9.6004 1.0283 1.1626
-10.9545 -3.9532 -5.8990
-7.7848 -7.5893 3.2268
-5.8555 2.6611 -8.3104
-10.5965 -7.3542 -1.5408
-6.3993 -10.4387 -2.0772
-9.9498 6.1032 3.3565
-5.5996 0.5375 0.4785
-7.8496 -2.6115 1.7963
-9.8183 -0.2289 -7.1458
-3.4421 -5.0503 1.9926
-6.3290 -10.7764 1.7629
-10.5860 4.7701 -8.2631
-10.0674 -7.6917 -5.5807
-12.2610 2.4493 10.4477
-10.3824 -4.5197 6.3388
-13.7284 -1.1741 3.0392
-2.5095 -0.6844 -5.0108
-9.8386 8.5801 0.1057
-7.0549 -3.2315 -6.8928
-6.9184 -6.4118 -1.5977
-12.7958 3.1918 -3.9641
-6.6375 -2.8869 -3.1342
-6.4196 -1.6296 5.1743
-5.8830 -6.8802 -10.3772
-11.7328 -0.9803 6.6023
-10.6383 -2.3960 -2.4501
-2.6498 -1.9028 0.0215
-9.5871 7.0574 -11.1249
-6.2881 -7.9618 -5.3280
-6.2659 9.1703 1.2492
-11.3655 -4.0762 2.3952
-8.3883 0.7530 -3.7679
-5.6519 -6.6287 6.2915
-6.1705 5.8332 3.6092
-3.9769 -4.3078 -12.4192
-8.4531 5.7307 -5.1983
-4.5051 -0.8782 -8.5738
-13.5881 0.0442 -1.9931
-9.1830 1.3729 4.9212
-9.9089 8.9178 -3.7344
-5.2834 2.0946 3.9275
-12.7315 0.9086 0.9056
-6.4988 -5.4157 1.3545
0.0000 0.0000 0.0000
-9.7391 3.5572 -3.3260
-3.8048 7.0873 1.7455
-10.8566 3.9740 5.4843
-5.3813 -5.8325 -7.4559
-3.5064 -2.7671 -2.8772
-6.5263 1.1933 6.8059
-5.3975 4.9647 -6.0462
-8.1190 -0.9293 -0.9858
-11.9076 -4.6392 -0.6499
-4.3303 2.7807 -1.3216
-1.5927 -2.1226 -7.7917
-7.3340 -4.0561 6.9518
-5.3700 -1.6444 -11.4976
-10.8679 -0.2141 9.5261
-4.3142 -8.0165 -2.7313
-2.7215 -5.8939 5.0604
-8.9039 2.1976 -8.9234
-8.4173 8.9251 3.6369
-6.5101 -9.6039 5.3962
-7.5934 3.3773 2.0814
-7.8206 -10.7836 -5.6085
-9.7278 7.7453 -7.3678
-4.3417 -1.4075 2.7201
-8.6445 -5.2359 -4.0529
-6.2052 -0.2848 -5.9003
-8.6558 -9.4240 -0.0112
-10.0327 -1.5738 3.9287
-11.8962 -0.4511 -4.6917
-7.5821 7.5655 -1.9604
```

Properties
- Space group: Ia-3d
- Uncorrected formation energy: -0.14 eV/atom


Entry 6:
A geometry-optimized SmHoMg2 structure, computed with GGA-PBE.

```
SmHoMg2
1.0
5.3867 0.0000 0.0000
2.6933 4.6650 0.0000
2.6933 1.5550 4.3982
Mg Ho Sm
2 1 1
Cartesian
2.6933 1.5550 1.0996
8.0800 4.6650 3.2987
5.3867 3.1100 2.1991
0.0000 0.0000 0.0000
```

Properties
- Space group: Fm-3m
- Excess energy over the best structure of this formula in the dataset: 0 meV/atom
- Energy of formation: -92 meV per atom


Entry 7:
A geometry-optimized ZnCdRh2 structure, computed with GGA-PBE.

```
ZnCdRh2
1.0
-3.1134 -3.0280 -2.1603
-0.9984 -3.6926 2.9827
-0.0913 4.8049 0.6585
Rh Zn Cd
2 1 1
Cartesian
-1.5728 -1.1240 2.0262
0.0000 0.0000 0.0000
-2.0559 -3.3603 0.4112
-2.6303 -0.7917 -0.5453
```

Properties
- Space group: I-4m2
- Energy of formation: -72 meV per atom


Entry 8:
A geometry-optimized DyEr2Zn6 structure, computed with GGA-PBE.

```
DyEr2Zn6
1.0
-0.6145 -3.2111 1.1656
-1.5884 -2.3088 -7.1978
7.2337 -0.4128 2.6805
Dy Er Zn
1 2 6
Cartesian
0.0000 0.0000 0.0000
1.3514 -1.6766 -3.9049
3.6794 -4.2561 0.5532
2.9206 -4.1906 -4.8292
6.3958 -2.7897 0.8588
2.1102 -1.7421 1.4776
3.4512 -3.4194 -2.4248
1.5796 -2.5133 -0.9269
5.8687 -3.5559 -1.5299
```

Properties
- Space group: P6/mmm
- Energy of formation: -382 meV per atom


Entry 9:
A geometry-optimized Tb2Dy2GaRh4 structure, computed with GGA-PBE.

```
Tb2Dy2GaRh4
1.0
6.3797 0.0660 0.0952
-3.0045 5.6283 -0.0952
-3.0045 -2.0666 5.2361
Ga Dy Tb Rh
1 2 2 4
Cartesian
0.0000 0.0000 0.0000
0.1854 3.7376 1.2852
0.1854 -0.1099 3.9509
-4.1131 2.4380 3.5188
-1.8959 1.1238 1.6220
-3.0045 -0.0776 3.8580
-3.0045 3.6393 1.2828
-1.3741 2.6730 3.8580
1.7449 0.9548 1.3781
```

Properties
- Space group: I4/mmm
- Energy of formation: -516 meV per atom


Mass density, respectively: 10.27, 7.60, 4.83, 5.48, 6.09, 5.47, 10.26, 8.23, 9.82 g/cm³.